# 1
First-principles (PBE-GGA) data for a relaxed ZnHgPbO4 crystal, as listed in Alexandria via LeMat-Bulk.

Cell: 6.598 6.598 6.598 Å, 121.66 118.19 90.15°
Fractional positions:
Zn1 0.500 0.000 0.000
Zn2 0.500 0.500 0.500
Hg1 0.100 0.350 0.750
Hg2 0.900 0.650 0.250
Pb1 0.000 0.000 0.000
Pb2 0.500 0.000 0.500
O1 0.263 0.241 0.478
O2 0.263 0.785 0.022
O3 0.274 0.234 0.041
O4 0.307 0.766 0.541
O5 0.693 0.234 0.459
O6 0.726 0.766 0.959
O7 0.737 0.215 0.978
O8 0.737 0.759 0.522

formation energy (no corrections) = -838 meV/atom
DOS at the Fermi energy = 0.21 states/eV per atom
total DFT energy (no corrections) = -4.426 eV per atom



# 2
First-principles (PBE-GGA) data for a relaxed HgPdO2 crystal, as listed in Alexandria via LeMat-Bulk.

Cell: 6.095 3.101 13.345 Å, 90.00 90.00 90.00°
Fractional positions:
Hg1 0.128 0.250 0.125
Hg2 0.372 0.750 0.625
Hg3 0.628 0.250 0.375
Hg4 0.872 0.750 0.875
Pd1 0.128 0.750 0.379
Pd2 0.372 0.250 0.879
Pd3 0.628 0.750 0.121
Pd4 0.872 0.250 0.621
O1 0.051 0.750 0.680
O2 0.189 0.750 0.936
O3 0.311 0.250 0.436
O4 0.449 0.250 0.180
O5 0.551 0.750 0.820
O6 0.689 0.750 0.564
O7 0.811 0.250 0.064
O8 0.949 0.250 0.320

formation energy (no corrections) = -302 meV/atom
total DFT energy (no corrections) = -4.155 eV per atom



# 3
First-principles (PBE-GGA) data for a relaxed HgPdO2 crystal, as listed in Alexandria via LeMat-Bulk.

Cell: 5.153 5.153 10.214 Å, 90.00 90.00 90.00°
Fractional positions:
Hg1 0.000 0.000 0.000
Hg2 0.000 0.500 0.250
Hg3 0.500 0.000 0.750
Hg4 0.500 0.500 0.500
Pd1 0.000 0.000 0.500
Pd2 0.000 0.500 0.750
Pd3 0.500 0.000 0.250
Pd4 0.500 0.500 0.000
O1 0.196 0.250 0.625
O2 0.250 0.696 0.875
O3 0.250 0.804 0.375
O4 0.304 0.250 0.125
O5 0.696 0.750 0.125
O6 0.750 0.196 0.375
O7 0.750 0.304 0.875
O8 0.804 0.750 0.625

formation energy (no corrections) = 37 meV/atom
DOS at the Fermi energy = 0.00 states/eV per atom
total DFT energy (no corrections) = -3.816 eV per atom



# 4
First-principles (PBE-GGA) data for a relaxed Hg2PdO crystal, as listed in Alexandria via LeMat-Bulk.

Cell: 7.136 7.136 5.507 Å, 90.00 90.00 90.00°
Fractional positions:
Hg1 0.199 0.250 0.125
Hg2 0.250 0.699 0.375
Hg3 0.250 0.801 0.875
Hg4 0.301 0.250 0.625
Hg5 0.699 0.750 0.625
Hg6 0.750 0.199 0.875
Hg7 0.750 0.301 0.375
Hg8 0.801 0.750 0.125
Pd1 0.000 0.000 0.500
Pd2 0.000 0.500 0.750
Pd3 0.500 0.000 0.250
Pd4 0.500 0.500 0.000
O1 0.000 0.000 0.000
O2 0.000 0.500 0.250
O3 0.500 0.000 0.750
O4 0.500 0.500 0.500

formation energy (no corrections) = 72 meV/atom
DOS at the Fermi energy = 0.22 states/eV per atom
total DFT energy (no corrections) = -2.616 eV per atom



# 5
First-principles (PBE-GGA) data for a relaxed Hg2PdO crystal, as listed in Alexandria via LeMat-Bulk.

Cell: 3.094 3.094 25.979 Å, 90.00 90.00 120.00°
Fractional positions:
Hg1 0.000 0.000 0.103
Hg2 0.000 0.000 0.897
Hg3 0.333 0.667 0.564
Hg4 0.333 0.667 0.770
Hg5 0.667 0.333 0.230
Hg6 0.667 0.333 0.436
Pd1 0.000 0.000 0.000
Pd2 0.333 0.667 0.667
Pd3 0.667 0.333 0.333
O1 0.000 0.000 0.500
O2 0.333 0.667 0.167
O3 0.667 0.333 0.833

formation energy (no corrections) = 178 meV/atom
DOS at the Fermi energy = 0.53 states/eV per atom
total DFT energy (no corrections) = -2.511 eV per atom



# 6
First-principles (PBE-GGA) data for a relaxed HgPd2O crystal, as listed in Alexandria via LeMat-Bulk.

Cell: 3.096 3.096 21.890 Å, 90.00 90.00 120.00°
Fractional positions:
Hg1 0.000 0.000 0.000
Hg2 0.333 0.667 0.667
Hg3 0.667 0.333 0.333
Pd1 0.000 0.000 0.233
Pd2 0.000 0.000 0.767
Pd3 0.333 0.667 0.434
Pd4 0.333 0.667 0.899
Pd5 0.667 0.333 0.101
Pd6 0.667 0.333 0.566
O1 0.000 0.000 0.500
O2 0.333 0.667 0.167
O3 0.667 0.333 0.833

energy relative to the lowest polymorph listed for this composition = 5.8 kJ per mole of atoms
formation energy (no corrections) = 32 meV/atom
DOS at the Fermi energy = 0.97 states/eV per atom
total DFT energy (no corrections) = -3.880 eV per atom



# 7
First-principles (PBE-GGA) data for a relaxed Hg3PdO crystal, as listed in Alexandria via LeMat-Bulk.

Cell: 5.229 5.229 5.229 Å, 90.00 90.00 90.00°
Fractional positions:
Hg1 0.000 0.000 0.500
Hg2 0.000 0.500 0.000
Hg3 0.500 0.000 0.000
Pd1 0.000 0.000 0.000
O1 0.500 0.500 0.500

energy relative to the lowest polymorph listed for this composition = 15.8 kJ per mole of atoms
formation energy (no corrections) = 551 meV/atom
DOS at the Fermi energy = 1.53 states/eV per atom
total DFT energy (no corrections) = -1.660 eV per atom



# 8
First-principles (PBE-GGA) data for a relaxed Hg2Pd2O7 crystal, as listed in Alexandria via LeMat-Bulk.

Cell: 7.290 7.290 7.290 Å, 60.00 60.00 60.00°
Fractional positions:
Hg1 0.000 0.000 0.000
Hg2 0.000 0.000 0.500
Hg3 0.000 0.500 0.000
Hg4 0.500 0.000 0.000
Pd1 0.000 0.500 0.500
Pd2 0.500 0.000 0.500
Pd3 0.500 0.500 0.000
Pd4 0.500 0.500 0.500
O1 0.125 0.125 0.125
O2 0.169 0.169 0.581
O3 0.169 0.581 0.169
O4 0.169 0.581 0.581
O5 0.419 0.419 0.831
O6 0.419 0.831 0.419
O7 0.419 0.831 0.831
O8 0.581 0.169 0.169
O9 0.581 0.169 0.581
O10 0.581 0.581 0.169
O11 0.831 0.419 0.419
O12 0.831 0.419 0.831
O13 0.831 0.831 0.419
O14 0.875 0.875 0.875

formation energy (no corrections) = -238 meV/atom
DOS at the Fermi energy = 0.78 states/eV per atom
total DFT energy (no corrections) = -4.392 eV per atom



# 9
First-principles (PBE-GGA) data for a relaxed HgPd2O crystal, as listed in Alexandria via LeMat-Bulk.

Cell: 6.304 6.304 6.304 Å, 90.00 90.00 90.00°
Fractional positions:
Hg1 0.000 0.000 0.000
Hg2 0.000 0.500 0.500
Hg3 0.500 0.000 0.500
Hg4 0.500 0.500 0.000
Pd1 0.250 0.250 0.250
Pd2 0.250 0.250 0.750
Pd3 0.250 0.750 0.250
Pd4 0.250 0.750 0.750
Pd5 0.750 0.250 0.250
Pd6 0.750 0.250 0.750
Pd7 0.750 0.750 0.250
Pd8 0.750 0.750 0.750
O1 0.000 0.000 0.500
O2 0.000 0.500 0.000
O3 0.500 0.000 0.000
O4 0.500 0.500 0.500

energy relative to the lowest polymorph listed for this composition = 40.4 kJ per mole of atoms
formation energy (no corrections) = 390 meV/atom
DOS at the Fermi energy = 0.92 states/eV per atom
total DFT energy (no corrections) = -3.521 eV per atom



# 10
First-principles (PBE-GGA) data for a relaxed HgPd3O crystal, as listed in Alexandria via LeMat-Bulk.

Cell: 4.277 4.277 4.277 Å, 90.00 90.00 90.00°
Fractional positions:
Hg1 0.000 0.000 0.000
Pd1 0.000 0.500 0.500
Pd2 0.500 0.000 0.500
Pd3 0.500 0.500 0.000
O1 0.500 0.500 0.500

energy relative to the lowest polymorph listed for this composition = 0.0 kJ per mole of atoms
formation energy (no corrections) = -42 meV/atom
DOS at the Fermi energy = 0.38 states/eV per atom
total DFT energy (no corrections) = -4.210 eV per atom



# 11
First-principles (PBE-GGA) data for a relaxed Hg3PdO crystal, as listed in Alexandria via LeMat-Bulk.

Cell: 4.668 4.668 4.668 Å, 90.00 90.00 90.00°
Fractional positions:
Hg1 0.000 0.000 0.500
Hg2 0.000 0.500 0.000
Hg3 0.500 0.000 0.000
Pd1 0.500 0.500 0.500
O1 0.000 0.000 0.000

energy relative to the lowest polymorph listed for this composition = 0.0 kJ per mole of atoms
formation energy (no corrections) = 388 meV/atom
DOS at the Fermi energy = 0.33 states/eV per atom
total DFT energy (no corrections) = -1.824 eV per atom



# 12
First-principles (PBE-GGA) data for a relaxed HgPd2O crystal, as listed in Alexandria via LeMat-Bulk.

Cell: 5.104 5.104 12.269 Å, 90.00 90.00 90.00°
Fractional positions:
Hg1 0.000 0.000 0.000
Hg2 0.000 0.500 0.250
Hg3 0.500 0.000 0.750
Hg4 0.500 0.500 0.500
Pd1 0.064 0.250 0.625
Pd2 0.250 0.564 0.875
Pd3 0.250 0.936 0.375
Pd4 0.436 0.250 0.125
Pd5 0.564 0.750 0.125
Pd6 0.750 0.064 0.375
Pd7 0.750 0.436 0.875
Pd8 0.936 0.750 0.625
O1 0.000 0.000 0.500
O2 0.000 0.500 0.750
O3 0.500 0.000 0.250
O4 0.500 0.500 0.000

energy relative to the lowest polymorph listed for this composition = 0.0 kJ per mole of atoms
formation energy (no corrections) = -28 meV/atom
DOS at the Fermi energy = 0.55 states/eV per atom
total DFT energy (no corrections) = -3.940 eV per atom



# 13
First-principles (PBE-GGA) data for a relaxed HgPd3O crystal, as listed in Alexandria via LeMat-Bulk.

Cell: 5.088 5.088 5.088 Å, 90.00 90.00 90.00°
Fractional positions:
Hg1 0.000 0.000 0.000
Pd1 0.000 0.000 0.500
Pd2 0.000 0.500 0.000
Pd3 0.500 0.000 0.000
O1 0.500 0.500 0.500

energy relative to the lowest polymorph listed for this composition = 153.8 kJ per mole of atoms
formation energy (no corrections) = 1553 meV/atom
DOS at the Fermi energy = 2.46 states/eV per atom
total DFT energy (no corrections) = -2.615 eV per atom



# 14
First-principles (PBE-GGA) data for a relaxed PmHgPdO4 crystal, as listed in Alexandria via LeMat-Bulk.

Cell: 6.657 6.657 6.657 Å, 120.06 114.42 94.91°
Fractional positions:
Pm1 0.000 0.000 0.000
Pm2 0.500 0.000 0.500
Hg1 0.382 0.632 0.750
Hg2 0.618 0.368 0.250
Pd1 0.000 0.000 0.500
Pd2 0.000 0.500 0.000
O1 0.181 0.740 0.441
O2 0.201 0.260 0.941
O3 0.231 0.204 0.473
O4 0.231 0.757 0.027
O5 0.769 0.243 0.973
O6 0.769 0.796 0.527
O7 0.799 0.740 0.059
O8 0.819 0.260 0.559

formation energy (no corrections) = -1324 meV/atom
DOS at the Fermi energy = 0.39 states/eV per atom
total DFT energy (no corrections) = -5.621 eV per atom



# 15
First-principles (PBE-GGA) data for a relaxed Pr2HgPdO5 crystal, as listed in Alexandria via LeMat-Bulk.

Cell: 6.981 6.981 5.716 Å, 90.00 90.00 90.00°
Fractional positions:
Pr1 0.174 0.326 0.000
Pr2 0.326 0.826 0.000
Pr3 0.674 0.174 0.000
Pr4 0.826 0.674 0.000
Hg1 0.000 0.000 0.500
Hg2 0.500 0.500 0.500
Pd1 0.000 0.500 0.500
Pd2 0.500 0.000 0.500
O1 0.000 0.000 0.000
O2 0.136 0.636 0.245
O3 0.136 0.636 0.755
O4 0.364 0.136 0.245
O5 0.364 0.136 0.755
O6 0.500 0.500 0.000
O7 0.636 0.864 0.245
O8 0.636 0.864 0.755
O9 0.864 0.364 0.245
O10 0.864 0.364 0.755

formation energy (no corrections) = -1833 meV/atom
DOS at the Fermi energy = 0.98 states/eV per atom
total DFT energy (no corrections) = -6.261 eV per atom



# 16
First-principles (PBE-GGA) data for a relaxed HgPdPtO6 crystal, as listed in Alexandria via LeMat-Bulk.

Cell: 5.303 5.303 9.570 Å, 90.00 90.00 120.00°
Fractional positions:
Hg1 0.000 0.000 0.000
Hg2 0.000 0.000 0.500
Pd1 0.333 0.667 0.250
Pd2 0.667 0.333 0.750
Pt1 0.333 0.667 0.750
Pt2 0.667 0.333 0.250
O1 0.004 0.376 0.635
O2 0.004 0.628 0.865
O3 0.372 0.376 0.865
O4 0.372 0.996 0.635
O5 0.376 0.004 0.135
O6 0.376 0.372 0.365
O7 0.624 0.628 0.635
O8 0.624 0.996 0.865
O9 0.628 0.004 0.365
O10 0.628 0.624 0.135
O11 0.996 0.372 0.135
O12 0.996 0.624 0.365

formation energy (no corrections) = -237 meV/atom
DOS at the Fermi energy = 0.82 states/eV per atom
total DFT energy (no corrections) = -4.825 eV per atom



# 17
First-principles (PBE-GGA) data for a relaxed Pu2HgPdO8 crystal, as listed in Alexandria via LeMat-Bulk.

Cell: 6.069 6.069 6.069 Å, 113.78 113.78 101.16°
Fractional positions:
Pu1 0.000 0.000 0.000
Pu2 0.750 0.250 0.500
Hg1 0.500 0.500 0.000
Pd1 0.250 0.750 0.500
O1 0.039 0.351 0.312
O2 0.039 0.727 0.688
O3 0.070 0.267 0.803
O4 0.273 0.961 0.312
O5 0.464 0.267 0.197
O6 0.649 0.961 0.688
O7 0.733 0.536 0.803
O8 0.733 0.930 0.197

formation energy (no corrections) = -1547 meV/atom
DOS at the Fermi energy = 0.80 states/eV per atom
total DFT energy (no corrections) = -7.699 eV per atom



# 18
First-principles (PBE-GGA) data for a relaxed PuHg2PdO6 crystal, as listed in Alexandria via LeMat-Bulk.

Cell: 6.207 6.207 4.969 Å, 109.62 109.62 55.33°
Fractional positions:
Pu1 0.000 0.000 0.000
Hg1 0.280 0.280 0.802
Hg2 0.720 0.720 0.198
Pd1 0.500 0.500 0.500
O1 0.162 0.162 0.333
O2 0.177 0.645 0.184
O3 0.355 0.823 0.816
O4 0.645 0.177 0.184
O5 0.823 0.355 0.816
O6 0.838 0.838 0.667

formation energy (no corrections) = -1159 meV/atom
DOS at the Fermi energy = 0.15 states/eV per atom
total DFT energy (no corrections) = -6.147 eV per atom



# 19
First-principles (PBE-GGA) data for a relaxed PuHgPdO6 crystal, as listed in Alexandria via LeMat-Bulk.

Cell: 5.364 5.364 10.173 Å, 90.00 90.00 120.00°
Fractional positions:
Pu1 0.333 0.667 0.250
Pu2 0.667 0.333 0.750
Hg1 0.000 0.000 0.000
Hg2 0.000 0.000 0.500
Pd1 0.333 0.667 0.750
Pd2 0.667 0.333 0.250
O1 0.001 0.357 0.639
O2 0.001 0.643 0.861
O3 0.357 0.001 0.139
O4 0.357 0.357 0.361
O5 0.357 0.357 0.861
O6 0.357 0.999 0.639
O7 0.643 0.001 0.361
O8 0.643 0.643 0.139
O9 0.643 0.643 0.639
O10 0.643 0.999 0.861
O11 0.999 0.357 0.139
O12 0.999 0.643 0.361

formation energy (no corrections) = -1221 meV/atom
DOS at the Fermi energy = 0.68 states/eV per atom
total DFT energy (no corrections) = -6.730 eV per atom



# 20
First-principles (PBE-GGA) data for a relaxed Rb2HgPdO4 crystal, as listed in Alexandria via LeMat-Bulk.

Cell: 12.457 10.725 7.768 Å, 83.04 58.72 38.24°
Fractional positions:
Rb1 0.051 0.051 0.699
Rb2 0.301 0.301 0.949
Rb3 0.699 0.699 0.051
Rb4 0.949 0.949 0.301
Hg1 0.125 0.125 0.125
Hg2 0.875 0.875 0.875
Pd1 0.375 0.375 0.375
Pd2 0.625 0.625 0.625
O1 0.054 0.694 0.504
O2 0.248 0.504 0.694
O3 0.306 0.946 0.752
O4 0.496 0.752 0.946
O5 0.504 0.248 0.054
O6 0.694 0.054 0.248
O7 0.752 0.496 0.306
O8 0.946 0.306 0.496

formation energy (no corrections) = -591 meV/atom
DOS at the Fermi energy = 0.69 states/eV per atom
total DFT energy (no corrections) = -3.999 eV per atom



# 21
First-principles (PBE-GGA) data for a relaxed Hg3Pd3RhO8 crystal, as listed in Alexandria via LeMat-Bulk.

Cell: 6.185 6.185 8.035 Å, 112.26 112.26 59.89°
Fractional positions:
Hg1 0.000 0.000 0.000
Hg2 0.000 0.500 0.000
Hg3 0.500 0.000 0.000
Pd1 0.000 0.500 0.500
Pd2 0.500 0.000 0.500
Pd3 0.500 0.500 0.500
Rh1 0.000 0.000 0.500
O1 0.212 0.212 0.640
O2 0.212 0.714 0.640
O3 0.286 0.788 0.360
O4 0.287 0.287 0.357
O5 0.713 0.713 0.643
O6 0.714 0.212 0.640
O7 0.788 0.286 0.360
O8 0.788 0.788 0.360

formation energy (no corrections) = -359 meV/atom
DOS at the Fermi energy = 0.31 states/eV per atom
total DFT energy (no corrections) = -4.592 eV per atom



# 22
First-principles (PBE-GGA) data for a relaxed HgPdRuO2 crystal, as listed in Alexandria via LeMat-Bulk.

Cell: 3.762 3.762 6.268 Å, 90.00 90.00 90.00°
Fractional positions:
Hg1 0.000 0.000 0.000
Pd1 0.500 0.500 0.000
Ru1 0.000 0.000 0.500
O1 0.000 0.500 0.500
O2 0.500 0.000 0.500

formation energy (no corrections) = -197 meV/atom
DOS at the Fermi energy = 0.53 states/eV per atom
total DFT energy (no corrections) = -5.134 eV per atom